A geometry-optimized La2Cu2O5 structure, computed with PBEsol.

Cell lengths 5.286, 5.404, 8.895 Å; angles 107.68, 107.29, 90.00 degrees
Atoms (fractional coordinates):
La 0.605 0.121 0.227
La 0.378 0.879 0.773
La 0.105 0.606 0.227
La 0.878 0.394 0.773
Cu 0.990 0.000 0.000
Cu 0.490 0.500 0.000
Cu 0.269 0.219 0.500
Cu 0.769 0.781 0.500
O 0.734 0.244 0.982
O 0.752 0.756 0.018
O 0.234 0.238 0.982
O 0.252 0.762 0.018
O 0.113 0.182 0.272
O 0.841 0.818 0.728
O 0.613 0.591 0.272
O 0.341 0.409 0.728
O 0.656 0.154 0.500
O 0.156 0.846 0.500

Values from the calculation:
E_tot (eV per atom): -7.193
ΔE_f (raw) (meV/atom): -2125
Offset from the most stable computed form (eV/f.u.): 0.54
Density of states at the Fermi level (states/eV/atom): 0.400
M_tot (μB/atom): 0.071

A geometry-optimized La2ReTc structure, computed with PBEsol.

Cell lengths 3.551, 4.956, 6.242 Å; angles 113.39, 106.53, 90.00 degrees
Atoms (fractional coordinates):
La 0.981 0.981 0.961
La 0.770 0.270 0.540
Re 0.553 0.553 0.106
Tc 0.196 0.696 0.392

Values from the calculation:
E_tot (eV per atom): -8.511
Formation energy from the elements (eV/atom): 0.312
Offset from the most stable computed form (eV/f.u.): 0.05
Density of states at the Fermi level (states/eV/atom): 1.119
M_tot (μB/atom): 0.000

A geometry-optimized MnIn2Br structure, computed with PBEsol.

Cell lengths 3.335, 5.035, 5.546 Å; angles 90.00, 90.00, 90.04 degrees
Atoms (fractional coordinates):
Br 0.372 0.694 0.500
In 0.880 0.032 0.000
In 0.868 0.230 0.500
Mn 0.380 0.544 0.000

Values from the calculation:
E_tot (eV per atom): -4.213
ΔE_f (raw) (meV/atom): 187
Offset from the most stable computed form (eV/f.u.): 0.49
Density of states at the Fermi level (states/eV/atom): 0.446
M_tot (μB/atom): 1.078

A geometry-optimized In2GeAsCl structure, computed with PBEsol.

Cell lengths 4.843, 5.365, 5.365 Å; angles 90.00, 90.00, 90.00 degrees
Atoms (fractional coordinates):
As 0.500 0.000 0.000
Cl 0.000 0.000 0.000
Ge 0.500 0.500 0.500
In 0.000 0.000 0.500
In 0.000 0.500 0.000

Values from the calculation:
E_tot (eV per atom): -3.017
ΔE_f (raw) (meV/atom): 587
Density of states at the Fermi level (states/eV/atom): 0.584
M_tot (μB/atom): 0.000

A geometry-optimized Na5NiHO4 structure, computed with PBEsol.

Cell lengths 9.700, 9.964, 11.627 Å; angles 90.00, 90.00, 90.00 degrees
Atoms (fractional coordinates):
Na 0.997 0.593 0.217
Na 0.997 0.907 0.217
Na 0.072 0.069 0.408
Na 0.072 0.431 0.408
Na 0.085 0.750 0.445
Na 0.113 0.250 0.980
Na 0.138 0.564 0.988
Na 0.138 0.936 0.988
Na 0.220 0.582 0.691
Na 0.220 0.918 0.691
Na 0.280 0.082 0.191
Na 0.280 0.418 0.191
Na 0.362 0.064 0.488
Na 0.362 0.436 0.488
Na 0.387 0.750 0.480
Na 0.415 0.250 0.945
Na 0.428 0.569 0.908
Na 0.428 0.931 0.908
Na 0.503 0.093 0.717
Na 0.503 0.407 0.717
Na 0.497 0.593 0.283
Na 0.497 0.907 0.283
Na 0.572 0.069 0.092
Na 0.572 0.431 0.092
Na 0.585 0.750 0.055
Na 0.613 0.250 0.520
Na 0.638 0.564 0.512
Na 0.638 0.936 0.512
Na 0.720 0.582 0.809
Na 0.720 0.918 0.809
Na 0.780 0.082 0.309
Na 0.780 0.418 0.309
Na 0.862 0.064 0.012
Na 0.862 0.436 0.012
Na 0.887 0.750 0.020
Na 0.915 0.250 0.555
Na 0.928 0.931 0.592
Na 0.928 0.569 0.592
Na 0.003 0.093 0.783
Na 0.003 0.407 0.783
Ni 0.013 0.250 0.206
Ni 0.204 0.250 0.617
Ni 0.296 0.750 0.117
Ni 0.487 0.750 0.706
Ni 0.513 0.250 0.294
Ni 0.704 0.250 0.883
Ni 0.796 0.750 0.383
Ni 0.987 0.750 0.794
H 0.250 0.638 0.293
H 0.250 0.862 0.293
H 0.250 0.138 0.793
H 0.250 0.362 0.793
H 0.750 0.638 0.207
H 0.750 0.862 0.207
H 0.750 0.138 0.707
H 0.750 0.362 0.707
O 0.062 0.750 0.650
O 0.058 0.402 0.127
O 0.058 0.098 0.127
O 0.103 0.405 0.602
O 0.103 0.095 0.602
O 0.109 0.750 0.114
O 0.250 0.084 0.864
O 0.250 0.416 0.864
O 0.250 0.584 0.364
O 0.250 0.916 0.364
O 0.391 0.250 0.614
O 0.397 0.595 0.102
O 0.397 0.905 0.102
O 0.442 0.598 0.627
O 0.442 0.902 0.627
O 0.438 0.250 0.150
O 0.562 0.750 0.850
O 0.558 0.098 0.373
O 0.558 0.402 0.373
O 0.603 0.095 0.898
O 0.603 0.405 0.898
O 0.609 0.750 0.386
O 0.750 0.084 0.636
O 0.750 0.416 0.636
O 0.750 0.584 0.136
O 0.750 0.916 0.136
O 0.891 0.250 0.886
O 0.897 0.905 0.398
O 0.897 0.595 0.398
O 0.942 0.902 0.873
O 0.942 0.598 0.873
O 0.938 0.250 0.350

Values from the calculation:
E_tot (eV per atom): -4.599
M_tot (μB/atom): 0.182

A geometry-optimized Ti6Ga16Co7 structure, computed with PBEsol.

Cell lengths 8.227, 8.227, 8.227 Å; angles 60.00, 60.00, 60.00 degrees
Atoms (fractional coordinates):
Ti 0.304 0.304 0.696
Ti 0.696 0.304 0.696
Ti 0.696 0.304 0.304
Ti 0.696 0.696 0.304
Ti 0.304 0.696 0.304
Ti 0.304 0.696 0.696
Ga 0.879 0.364 0.879
Ga 0.879 0.879 0.364
Ga 0.879 0.879 0.879
Ga 0.364 0.879 0.879
Ga 0.121 0.636 0.121
Ga 0.121 0.121 0.636
Ga 0.121 0.121 0.121
Ga 0.636 0.121 0.121
Ga 0.654 0.038 0.654
Ga 0.654 0.654 0.038
Ga 0.654 0.654 0.654
Ga 0.038 0.654 0.654
Ga 0.346 0.962 0.346
Ga 0.346 0.346 0.962
Ga 0.346 0.346 0.346
Ga 0.962 0.346 0.346
Co 0.000 0.000 0.000
Co 0.500 0.500 0.000
Co 0.000 0.500 0.000
Co 0.000 0.500 0.500
Co 0.000 0.000 0.500
Co 0.500 0.000 0.500
Co 0.500 0.000 0.000

Values from the calculation:
E_tot (eV per atom): -5.871
Formation energy from the elements (eV/atom): -0.439
Density of states at the Fermi level (states/eV/atom): 0.941
M_tot (μB/atom): 0.000

A geometry-optimized Dy2TlHg structure, computed with PBEsol.

Cell lengths 5.213, 5.213, 5.213 Å; angles 60.00, 60.00, 60.00 degrees
Atoms (fractional coordinates):
Tl 0.500 0.500 0.500
Hg 0.000 0.000 0.000
Dy 0.250 0.250 0.250
Dy 0.750 0.750 0.750

Values from the calculation:
E_tot (eV per atom): -3.785
Formation energy from the elements (eV/atom): -0.497
Density of states at the Fermi level (states/eV/atom): 1.109
M_tot (μB/atom): 0.077

A geometry-optimized CuReSN2 structure, computed with PBEsol.

Cell lengths 3.751, 3.751, 5.006 Å; angles 90.00, 90.00, 90.00 degrees
Atoms (fractional coordinates):
Re 0.000 0.000 0.000
S 0.000 0.000 0.500
Cu 0.500 0.500 0.500
N 0.000 0.500 0.000
N 0.500 0.000 0.000

Values from the calculation:
E_tot (eV per atom): -7.319
ΔE_f (raw) (meV/atom): 502
Density of states at the Fermi level (states/eV/atom): 0.419
M_tot (μB/atom): 0.000